The following is a DFT calculation (PBE+U) of an optimized crystal structure of NaYSnWO6.

The value obtained for the total energy is -7.019 eV per atom. The value obtained for the total magnetization is 0.00 Bohr magnetons per cell.

The space group is F-43m (No. 216) and the conventional cell measures 8.343, 8.343 and 8.343 Å, with angles of 90.00, 90.00 and 90.00 degrees. Symmetry generates all atoms from Na at (0.000, 0.000, 0.000), Y at (0.250, 0.250, 0.750), Sn at (0.000, 0.000, 0.500), W at (0.250, 0.250, 0.250) and O at (0.017, 0.250, 0.250).